Record 1
VASP calculation (PBE-GGA) on AcPm2Ga after structural relaxation.

## Properties
density of states at the Fermi level = 1.40 states/eV per atom
E_form = -233 meV per atom
ΔE to the lowest computed polymorph = 0.0105 eV/atom
mass density = 7.42 g cm⁻³

Structure (CIF):
```
data_AcPm2Ga
_chemical_formula_sum 'Ac4 Pm8 Ga4'
_symmetry_space_group_name_H-M 'C m c m'
_symmetry_Int_Tables_number 63
_symmetry_space_group_name_Hall '-C 2c 2'
_cell_length_a 4.442
_cell_length_b 12.836
_cell_length_c 9.208
_cell_angle_alpha 90.00
_cell_angle_beta 90.00
_cell_angle_gamma 90.00
loop_
_atom_site_label
_atom_site_fract_x
_atom_site_fract_y
_atom_site_fract_z
Ac1 0.000 0.060 0.250
Pm1 0.000 0.352 0.054
Ga1 0.000 0.242 0.750
```

=====

Record 2
VASP calculation (PBE-GGA) on Ce4Ho2Pb3O2 after structural relaxation.

## Properties
density of states at the Fermi level = 2.09 states/eV per atom
mass density = 8.78 g cm⁻³
formation energy (no corrections) = -1.260 eV per atom

Structure (CIF):
```
data_Ce4Ho2Pb3O2
_chemical_formula_sum 'Ce8 Ho4 Pb6 O4'
_symmetry_space_group_name_H-M 'I 4/m m m'
_symmetry_Int_Tables_number 139
_symmetry_space_group_name_Hall '-I 4 2'
_cell_length_a 4.732
_cell_length_b 4.732
_cell_length_c 26.064
_cell_angle_alpha 90.00
_cell_angle_beta 90.00
_cell_angle_gamma 90.00
loop_
_atom_site_label
_atom_site_fract_x
_atom_site_fract_y
_atom_site_fract_z
Ce1 0.000 0.500 0.086
Ho1 0.000 0.000 0.196
Pb1 0.000 0.000 0.318
Pb2 0.000 0.000 0.500
O1 0.000 0.000 0.107
```

=====

M_tot
In order: 0.0000, 0.3485
Unit: μB per atom